## a
Na3VPCO7: optimized geometry, PBE with a Hubbard U.

Unit cell a=8.990 b=5.270 c=6.825 alpha=90.00 beta=90.00 gamma=88.29
Each line ends with the local moment (μB).
Atoms (fractional coordinates):
Na (0.917, 0.228, 0.750)  0.00
Na (0.084, 0.772, 0.250)  0.00
O (0.559, 0.579, 0.750)  0.00
C (0.942, 0.286, 0.250)  0.01
O (0.916, 0.687, 0.750)  0.00
O (0.084, 0.313, 0.250)  0.00
O (0.565, 0.846, 0.250)  0.00
O (0.683, 0.208, 0.932)  0.00
Na (0.727, 0.744, 0.991)  0.00
O (0.435, 0.154, 0.750)  0.00
O (0.317, 0.792, 0.432)  0.00
C (0.058, 0.714, 0.750)  0.01
Na (0.273, 0.256, 0.490)  0.00
V (0.345, 0.779, 0.750)  2.73
Na (0.727, 0.744, 0.510)  0.00
O (0.317, 0.792, 0.068)  0.00
P (0.413, 0.715, 0.250)  0.01
O (0.441, 0.421, 0.250)  0.00
O (0.150, 0.516, 0.750)  -0.01
P (0.587, 0.285, 0.750)  0.01
O (0.850, 0.484, 0.250)  -0.01
O (0.884, 0.062, 0.250)  -0.01
V (0.655, 0.221, 0.250)  2.73
Na (0.273, 0.256, 0.009)  0.00
O (0.683, 0.208, 0.568)  0.00
O (0.116, 0.938, 0.750)  -0.01

=====

## b
Na3VPCO7: optimized geometry, PBE with a Hubbard U.

Unit cell a=5.384 b=6.771 c=8.918 alpha=90.00 beta=91.64 gamma=90.00
Each line ends with the local moment (μB).
Atoms (fractional coordinates):
O (0.818, 0.263, 0.929)  -0.01
V (0.552, 0.263, 0.720)  2.73
O (0.800, 0.263, 0.358)  0.00
O (0.232, 0.264, 0.887)  -0.01
O (0.390, 0.263, 0.498)  0.00
O (0.610, 0.763, 0.502)  0.00
P (0.486, 0.763, 0.657)  0.01
Na (0.056, 0.264, 0.162)  0.00
O (0.419, 0.446, 0.250)  0.00
Na (0.999, 0.514, 0.500)  0.00
V (0.448, 0.763, 0.280)  2.73
O (0.200, 0.763, 0.642)  0.00
O (0.182, 0.763, 0.071)  -0.01
O (0.049, 0.763, 0.306)  -0.01
Na (0.500, 0.014, 0.000)  0.00
O (0.768, 0.764, 0.113)  -0.01
O (0.418, 0.080, 0.250)  0.00
Na (0.001, 0.014, 0.500)  0.00
Na (0.944, 0.764, 0.838)  0.00
Na (0.500, 0.514, 0.000)  0.00
O (0.582, 0.580, 0.750)  0.00
C (0.003, 0.263, 0.836)  0.01
C (0.997, 0.763, 0.164)  0.01
P (0.514, 0.263, 0.343)  0.01
O (0.581, 0.946, 0.750)  0.00
O (0.951, 0.263, 0.694)  -0.01

=====

Stability summary: most stable a, least stable b.